A plane-wave DFT calculation with PBE was carried out for a relaxed structure of AcNd2Sb2.

The uncorrected formation energy is -0.786 eV per atom. The calculation puts the total energy at -5.163 eV per atom. Its crystal system is monoclinic.

The structure belongs to space group C2/m (No. 12); the cell edges are 6.655, 6.698 and 8.153 Å and the angles 90.00°, 114.03° and 90.00°. The asymmetric unit holds Ac at (0.000, 0.000, 0.000), Nd at (0.000, 0.249, 0.500) and Sb at (0.103, 0.500, 0.207).

=====

A plane-wave DFT calculation with PBE was carried out for a relaxed structure of Ac2NdSb3.

The uncorrected formation energy is -1.190 eV per atom. The calculation puts the total energy at -5.415 eV per atom. Its crystal system is orthorhombic. The value obtained for the energy relative to the lowest polymorph listed for this composition is 3.7 meV per atom.

The structure belongs to space group Immm (No. 71); the cell edges are 4.712, 6.673 and 14.126 Å and the angles 90.00°, 90.00° and 90.00°. The asymmetric unit holds Ac at (0.000, 0.000, 0.168), Nd at (0.000, 0.000, 0.500), Sb at (0.000, 0.500, 0.159) and Sb at (0.000, 0.500, 0.500).

=====

A plane-wave DFT calculation with PBE was carried out for a relaxed structure of AcNdSb2.

The uncorrected formation energy is -1.068 eV per atom. The calculation puts the total energy at -5.348 eV per atom. Its crystal system is trigonal. The value obtained for the energy relative to the lowest polymorph listed for this composition is 123.4 meV per atom.

The structure belongs to space group R3m (No. 160, hexagonal axes); the cell edges are 4.6057, 4.6057 and 23.9139 Å and the angles 90.00°, 90.00° and 120.00°. The asymmetric unit holds Ac at (0.0000, 0.0000, 0.0000), Nd at (0.0000, 0.0000, 0.8293), Sb at (0.0000, 0.0000, 0.4179) and Sb at (0.0000, 0.0000, 0.5774).

=====

A plane-wave DFT calculation with PBE was carried out for a relaxed structure of Ac2NdSb.

The uncorrected formation energy is -0.433 eV per atom. The calculation puts the total energy at -4.710 eV per atom. Its crystal system is tetragonal. The value obtained for the energy relative to the lowest polymorph listed for this composition is 35.6 meV per atom.

The structure belongs to space group P4/mmm (No. 123); the cell edges are 4.349, 4.349 and 7.853 Å and the angles 90.00°, 90.00° and 90.00°. The asymmetric unit holds Ac at (0.000, 0.000, 0.221), Nd at (0.500, 0.500, 0.500) and Sb at (0.500, 0.500, 0.000).

=====

A plane-wave DFT calculation with PBE was carried out for a relaxed structure of AcNd4Sb2.

The uncorrected formation energy is 0.370 eV per atom. The calculation puts the total energy at -4.119 eV per atom. Its crystal system is tetragonal.

The structure belongs to space group I4/mmm (No. 139); the cell edges are 5.918, 5.918 and 16.108 Å and the angles 90.00°, 90.00° and 90.00°. The asymmetric unit holds Ac at (0.000, 0.000, 0.000), Nd at (0.000, 0.000, 0.193), Nd at (0.000, 0.500, 0.000) and Sb at (0.000, 0.000, 0.379).

=====

A plane-wave DFT calculation with PBE was carried out for a relaxed structure of AcNdSb.

The uncorrected formation energy is -0.807 eV per atom. The calculation puts the total energy at -5.140 eV per atom. Its crystal system is tetragonal. The value obtained for the energy relative to the lowest polymorph listed for this composition is 0.0 meV per atom.

The structure belongs to space group P4/nmm (No. 129, origin choice 2); the cell edges are 4.773, 4.773 and 9.194 Å and the angles 90.00°, 90.00° and 90.00°. The asymmetric unit holds Ac at (0.250, 0.250, 0.147), Nd at (0.250, 0.750, 0.500) and Sb at (0.250, 0.250, 0.765).